Ho8Tm4Zr | PBE | optimized geometry

The space group is R-3m (No. 166, hexagonal axes) and the conventional cell measures 7.1833, 7.1833 and 26.7693 Å, with angles of 90.00, 90.00 and 120.00 degrees. The asymmetric unit holds Ho at (0.0000, 0.0000, 0.2174), Ho at (0.0309, 0.5155, 0.7690), Tm at (0.0000, 0.0000, 0.0000), Tm at (0.0000, 0.5000, 0.0000) and Zr at (0.0000, 0.0000, 0.5000).

Its density of states at the Fermi level is 17.4 states/eV/f.u. Its energy of formation from the pure elements is 0.213 eV/atom.

Ho2Tm5Zr | PBE | optimized geometry

The space group is Cmcm (No. 63) and the conventional cell measures 5.430, 11.663 and 15.097 Å, with angles of 90.00, 90.00 and 90.00 degrees. The asymmetric unit holds Ho at (0.000, 0.221, 0.133), Tm at (0.000, 0.081, 0.600), Tm at (0.000, 0.379, 0.552), Tm at (0.000, 0.463, 0.250) and Zr at (0.000, 0.272, 0.750).

Its density of states at the Fermi level is 12.4 states/eV/f.u. Its energy of formation from the pure elements is 0.135 eV/atom.

Results for spin magnetization: 0.512; 0.000 (in μB per formula unit, following the order of the records).
Results for E: -4.64; -4.87 (in eV/atom, following the order of the records).